Here is a relaxed structure of Li2LaPb from Alexandria. Energies are from GGA-PBE.

POSCAR file:
```
Li2LaPb
1.0
1.722 0.994 10.594
-1.722 0.994 10.594
0.000 -1.988 10.594
Li La Pb
2 1 1
Direct
0.241 0.241 0.241 Li
0.759 0.759 0.759 Li
0.000 0.000 0.000 La
0.500 0.500 0.500 Pb
```

Output
The density of states at the Fermi level comes out at 0.960 states/eV/atom. The total energy is -12.47 eV per cell. The formation energy from the elements comes out at 0.00 eV/atom.


Here is a relaxed structure of LiLa2Pb2 from Alexandria. Energies are from GGA-PBE.

POSCAR file:
```
LiLa2Pb2
1.0
8.017 0.000 0.000
0.000 8.017 0.000
0.000 0.000 4.876
Li La Pb
2 4 4
Direct
0.000 0.000 0.000 Li
0.500 0.500 0.000 Li
0.171 0.329 0.500 La
0.329 0.829 0.500 La
0.671 0.171 0.500 La
0.829 0.671 0.500 La
0.136 0.636 0.000 Pb
0.364 0.136 0.000 Pb
0.636 0.864 0.000 Pb
0.864 0.364 0.000 Pb
```

Output
The density of states at the Fermi level comes out at 0.985 states/eV/atom. The total energy is -43.52 eV per cell. The relative energy among the computed polymorphs is 0.000 eV per atom. The formation energy from the elements comes out at -0.51 eV/atom.


Here is a relaxed structure of LiLa2Pb from Alexandria. Energies are from GGA-PBE.

POSCAR file:
```
LiLa2Pb
1.0
1.802 1.040 11.418
-1.802 1.040 11.418
0.000 -2.081 11.418
Li La Pb
1 2 1
Direct
0.000 0.000 0.000 Li
0.250 0.250 0.250 La
0.750 0.750 0.750 La
0.500 0.500 0.500 Pb
```

Output
The density of states at the Fermi level comes out at 1.205 states/eV/atom. The total energy is -15.73 eV per cell. The formation energy from the elements comes out at -0.06 eV/atom.


Here is a relaxed structure of Li2LaPb2 from Alexandria. Energies are from GGA-PBE.

POSCAR file:
```
Li2LaPb2
1.0
8.888 0.000 0.000
0.000 8.888 0.000
0.000 0.000 3.281
Li La Pb
4 2 4
Direct
0.139 0.361 0.000 Li
0.361 0.861 0.000 Li
0.639 0.139 0.000 Li
0.861 0.639 0.000 Li
0.000 0.000 0.500 La
0.500 0.500 0.500 La
0.153 0.653 0.500 Pb
0.347 0.153 0.500 Pb
0.653 0.847 0.500 Pb
0.847 0.347 0.500 Pb
```

Output
The density of states at the Fermi level comes out at 0.569 states/eV/atom. The total energy is -35.02 eV per cell. The relative energy among the computed polymorphs is 0.169 eV per atom. The formation energy from the elements comes out at -0.27 eV/atom.


Here is a relaxed structure of Li2LaPb2 from Alexandria. Energies are from GGA-PBE.

POSCAR file:
```
Li2LaPb2
1.0
4.726 0.000 0.000
0.000 4.726 0.000
0.000 0.000 11.026
Li La Pb
4 2 4
Direct
0.250 0.250 0.135 Li
0.250 0.750 0.500 Li
0.750 0.250 0.500 Li
0.750 0.750 0.865 Li
0.250 0.250 0.742 La
0.750 0.750 0.258 La
0.250 0.250 0.373 Pb
0.250 0.750 0.000 Pb
0.750 0.250 0.000 Pb
0.750 0.750 0.627 Pb
```

Output
The density of states at the Fermi level comes out at 0.470 states/eV/atom. The total energy is -36.71 eV per cell. The relative energy among the computed polymorphs is 0.000 eV per atom. The formation energy from the elements comes out at -0.44 eV/atom.


Here is a relaxed structure of LiLaPb4 from Alexandria. Energies are from GGA-PBE.

POSCAR file:
```
LiLaPb4
1.0
0.000 4.584 4.584
4.584 0.000 4.584
4.584 4.584 0.000
Li La Pb
1 1 4
Direct
0.000 0.000 0.000 Li
0.250 0.250 0.250 La
0.130 0.623 0.623 Pb
0.623 0.130 0.623 Pb
0.623 0.623 0.130 Pb
0.623 0.623 0.623 Pb
```

Output
The density of states at the Fermi level comes out at 0.713 states/eV/atom. The total energy is -22.51 eV per cell. The formation energy from the elements comes out at -0.14 eV/atom.


Here is a relaxed structure of Li2LaPb from Alexandria. Energies are from GGA-PBE.

POSCAR file:
```
Li2LaPb
1.0
3.350 -5.653 0.000
3.350 5.653 0.000
-1.525 0.000 2.953
Li La Pb
2 1 1
Direct
0.000 0.500 0.000 Li
0.500 0.000 0.000 Li
0.000 0.000 0.500 La
0.500 0.500 0.500 Pb
```

Output
The density of states at the Fermi level comes out at 0.772 states/eV/atom. The total energy is -12.82 eV per cell. The formation energy from the elements comes out at -0.09 eV/atom.


Here is a relaxed structure of LiLa2Pb4 from Alexandria. Energies are from GGA-PBE.

POSCAR file:
```
LiLa2Pb4
1.0
-2.556 2.556 8.228
2.556 -2.556 8.228
2.556 2.556 -8.228
Li La Pb
1 2 4
Direct
0.000 0.000 0.000 Li
0.361 0.361 0.000 La
0.639 0.639 0.000 La
0.000 0.500 0.500 Pb
0.165 0.165 0.000 Pb
0.500 0.000 0.500 Pb
0.835 0.835 0.000 Pb
```

Output
The density of states at the Fermi level comes out at 0.311 states/eV/atom. The total energy is -28.77 eV per cell. The formation energy from the elements comes out at -0.31 eV/atom.


Here is a relaxed structure of Li4La3Pb4 from Alexandria. Energies are from GGA-PBE.

POSCAR file:
```
Li4La3Pb4
1.0
-2.418 3.734 7.954
2.418 -3.734 7.954
2.418 3.734 -7.954
Li La Pb
4 3 4
Direct
0.016 0.828 0.188 Li
0.360 0.172 0.188 Li
0.640 0.828 0.812 Li
0.984 0.172 0.812 Li
0.000 0.500 0.500 La
0.371 0.371 0.000 La
0.629 0.629 0.000 La
0.215 0.715 0.500 Pb
0.297 0.000 0.297 Pb
0.703 0.000 0.703 Pb
0.785 0.285 0.500 Pb
```

Output
The density of states at the Fermi level comes out at 0.326 states/eV/atom. The total energy is -43.33 eV per cell. The formation energy from the elements comes out at -0.55 eV/atom.


Here is a relaxed structure of Li2LaPb from Alexandria. Energies are from GGA-PBE.

POSCAR file:
```
Li2LaPb
1.0
3.378 0.000 0.000
0.000 5.170 0.000
-0.403 0.000 6.091
Li La Pb
2 1 1
Direct
0.123 0.000 0.272 Li
0.877 0.000 0.728 Li
0.500 0.500 0.000 La
0.000 0.500 0.500 Pb
```

Output
The density of states at the Fermi level comes out at 0.470 states/eV/atom. The total energy is -13.28 eV per cell. The formation energy from the elements comes out at -0.21 eV/atom.


Here is a relaxed structure of Li3LaPb from Alexandria. Energies are from GGA-PBE.

POSCAR file:
```
Li3LaPb
1.0
5.032 0.000 0.000
0.000 5.032 0.000
0.000 0.000 5.032
Li La Pb
3 1 1
Direct
0.000 0.000 0.500 Li
0.000 0.500 0.000 Li
0.500 0.000 0.000 Li
0.500 0.500 0.500 La
0.000 0.000 0.000 Pb
```

Output
The density of states at the Fermi level comes out at 0.251 states/eV/atom. The total energy is -14.35 eV per cell. The relative energy among the computed polymorphs is 0.000 eV per atom. The formation energy from the elements comes out at 0.00 eV/atom.


Here is a relaxed structure of LiLa2Pb from Alexandria. Energies are from GGA-PBE.

POSCAR file:
```
LiLa2Pb
1.0
5.842 -1.801 0.000
5.842 1.801 0.000
-1.045 0.000 5.894
Li La Pb
1 2 1
Direct
0.000 0.000 0.000 Li
0.248 0.248 0.730 La
0.752 0.752 0.270 La
0.500 0.500 0.500 Pb
```

Output
The density of states at the Fermi level comes out at 1.092 states/eV/atom. The total energy is -16.02 eV per cell. The formation energy from the elements comes out at -0.14 eV/atom.


Here is a relaxed structure of LiLaPd3Pb from Alexandria. Energies are from GGA-PBE.

POSCAR file:
```
LiLaPd3Pb
1.0
2.900 -6.334 0.000
2.900 6.334 0.000
0.000 0.000 6.854
Li La Pd Pb
2 2 6 2
Direct
0.085 0.915 0.750 Li
0.915 0.085 0.250 Li
0.334 0.666 0.750 La
0.666 0.334 0.250 La
0.144 0.856 0.250 Pd
0.249 0.249 0.000 Pd
0.249 0.249 0.500 Pd
0.751 0.751 0.000 Pd
0.751 0.751 0.500 Pd
0.856 0.144 0.750 Pd
0.363 0.637 0.250 Pb
0.637 0.363 0.750 Pb
```

Output
The density of states at the Fermi level comes out at 0.374 states/eV/atom. The total energy is -58.17 eV per cell. The formation energy from the elements comes out at -0.49 eV/atom.


Here is a relaxed structure of Li2La2Pd5Pb from Alexandria. Energies are from GGA-PBE.

POSCAR file:
```
Li2La2Pd5Pb
1.0
9.851 0.000 0.000
0.000 9.851 0.000
0.000 0.000 3.878
Li La Pd Pb
4 4 10 2
Direct
0.117 0.383 0.000 Li
0.383 0.883 0.000 Li
0.617 0.117 0.000 Li
0.883 0.617 0.000 Li
0.179 0.679 0.000 La
0.321 0.179 0.000 La
0.679 0.821 0.000 La
0.821 0.321 0.000 La
0.000 0.500 0.500 Pd
0.069 0.216 0.500 Pd
0.216 0.931 0.500 Pd
0.284 0.431 0.500 Pd
0.431 0.716 0.500 Pd
0.500 0.000 0.500 Pd
0.569 0.284 0.500 Pd
0.716 0.569 0.500 Pd
0.784 0.069 0.500 Pd
0.931 0.784 0.500 Pd
0.000 0.000 0.000 Pb
0.500 0.500 0.000 Pb
```

Output
The density of states at the Fermi level comes out at 0.477 states/eV/atom. The total energy is -99.15 eV per cell. The formation energy from the elements comes out at -0.62 eV/atom.


Here is a relaxed structure of LiLaPd2Pb from Alexandria. Energies are from GGA-PBE.

POSCAR file:
```
LiLaPd2Pb
1.0
4.666 0.000 0.000
0.000 4.666 0.000
0.000 0.000 5.056
Li La Pd Pb
1 1 2 1
Direct
0.000 0.000 0.000 Li
0.000 0.000 0.500 La
0.000 0.500 0.000 Pd
0.500 0.000 0.000 Pd
0.500 0.500 0.500 Pb
```

Output
The density of states at the Fermi level comes out at 1.034 states/eV/atom. The total energy is -20.81 eV per cell. The formation energy from the elements comes out at 0.03 eV/atom.


Here is a relaxed structure of LiLaPdPb from Alexandria. Energies are from GGA-PBE.

POSCAR file:
```
LiLaPdPb
1.0
0.000 3.527 3.527
3.527 0.000 3.527
3.527 3.527 0.000
Li La Pd Pb
1 1 1 1
Direct
0.000 0.000 0.000 Li
0.250 0.250 0.250 La
0.500 0.500 0.500 Pd
0.750 0.750 0.750 Pb
```

Output
The density of states at the Fermi level comes out at 0.087 states/eV/atom. The total energy is -18.28 eV per cell. The formation energy from the elements comes out at -0.63 eV/atom.


Here is a relaxed structure of LiLaPmPb from Alexandria. Energies are from GGA-PBE.

POSCAR file:
```
LiLaPmPb
1.0
0.000 3.889 3.889
3.889 0.000 3.889
3.889 3.889 0.000
Li La Pm Pb
1 1 1 1
Direct
0.000 0.000 0.000 Li
0.750 0.750 0.750 La
0.250 0.250 0.250 Pm
0.500 0.500 0.500 Pb
```

Output
The density of states at the Fermi level comes out at 0.906 states/eV/atom. The total energy is -16.62 eV per cell. The formation energy from the elements comes out at -0.33 eV/atom.


Here is a relaxed structure of Li2La2PmPb2 from Alexandria. Energies are from GGA-PBE.

POSCAR file:
```
Li2La2PmPb2
1.0
2.438 1.408 9.378
-2.438 1.408 9.378
0.000 -2.815 9.378
Li La Pm Pb
2 2 1 2
Direct
0.096 0.096 0.096 Li
0.904 0.904 0.904 Li
0.366 0.366 0.366 La
0.634 0.634 0.634 La
0.500 0.500 0.500 Pm
0.233 0.233 0.233 Pb
0.767 0.767 0.767 Pb
```

Output
The density of states at the Fermi level comes out at 0.644 states/eV/atom. The total energy is -28.49 eV per cell. The formation energy from the elements comes out at -0.38 eV/atom.


Here is a relaxed structure of Li2LaPm2Pb2 from Alexandria. Energies are from GGA-PBE.

POSCAR file:
```
Li2LaPm2Pb2
1.0
2.461 1.421 9.360
-2.461 1.421 9.360
0.000 -2.842 9.360
Li La Pm Pb
2 1 2 2
Direct
0.089 0.089 0.089 Li
0.911 0.911 0.911 Li
0.500 0.500 0.500 La
0.369 0.369 0.369 Pm
0.631 0.631 0.631 Pm
0.238 0.238 0.238 Pb
0.762 0.762 0.762 Pb
```

Output
The density of states at the Fermi level comes out at 0.669 states/eV/atom. The total energy is -28.26 eV per cell. The formation energy from the elements comes out at -0.37 eV/atom.


Here is a relaxed structure of Li2La2PrPb2 from Alexandria. Energies are from GGA-PBE.

POSCAR file:
```
Li2La2PrPb2
1.0
2.446 1.412 9.454
-2.446 1.412 9.454
0.000 -2.825 9.454
Li La Pr Pb
2 2 1 2
Direct
0.094 0.094 0.094 Li
0.906 0.906 0.906 Li
0.365 0.365 0.365 La
0.635 0.635 0.635 La
0.500 0.500 0.500 Pr
0.235 0.235 0.235 Pb
0.765 0.765 0.765 Pb
```

Output
The density of states at the Fermi level comes out at 0.621 states/eV/atom. The total energy is -28.56 eV per cell. The formation energy from the elements comes out at -0.38 eV/atom.